1.
Entry from the Alexandria database: a geometry-optimized AcY6Er2 structure (PBE-GGA).

a = 12.8696 Å, b = 3.7479 Å, c = 13.0754 Å
α = 90.00°, β = 106.33°, γ = 90.00°
Closest atoms and distances in Å follow each position.
Space group C2/m (No. 12)
Asymmetric unit:
Ac (0.0000, 0.0000, 0.0000)  6 Y 3.72-3.78, 2 Ac 3.75, 4 Er 4.00
Y (0.0322, 0.0000, 0.6902)  8 Y 3.44-3.75, 3 Er 3.47-3.62
Y (0.1448, 0.5000, 0.5229)  9 Y 3.48-3.75, 3 Er 3.56-3.62
Y (0.2000, 0.5000, 0.8901)  6 Y 3.37-3.75, 2 Er 3.43, 1 Ac 3.72
Er (0.1764, 0.5000, 0.2612)  8 Y 3.43-3.62, 2 Er 3.75

Energy relative to the lowest polymorph listed for this composition   0.000 eV/atom
E_form   0.52 eV/f.u.
Total energy   -51.50 eV/f.u.

2.
Entry from the Alexandria database: a geometry-optimized AcYEr6 structure (PBE-GGA).

a = 9.6724 Å, b = 6.9320 Å, c = 8.8609 Å
α = 90.00°, β = 102.77°, γ = 90.00°
Closest atoms and distances in Å follow each position.
Space group C2/m (No. 12)
Asymmetric unit:
Ac (0.0000, 0.0000, 0.0000)  10 Er 3.50-3.78
Y (0.0000, 0.5000, 0.5000)  10 Er 3.42-3.64
Er (0.1227, 0.5000, 0.9195)  3 Er 3.03-3.27
Er (0.2183, 0.2609, 0.2990)  4 Er 3.27-3.62, 2 Y 3.42-3.47, 1 Ac 3.50

E_form   3.30 eV/f.u.
Total energy   -34.65 eV/f.u.

3.
Entry from the Alexandria database: a geometry-optimized Ac6Y5Er structure (PBE-GGA).

a = 6.3326 Å, b = 7.7937 Å, c = 10.0392 Å
α = 112.79°, β = 94.84°, γ = 90.01°
Closest atoms and distances in Å follow each position.
Space group P-1 (No. 2)
Asymmetric unit:
Ac (0.0000, 0.2486, 0.0000)  2 Er 3.71, 6 Y 3.72-3.73, 4 Ac 3.88-3.92
Ac (0.3344, 0.0833, 0.6678)  1 Er 3.71, 7 Y 3.71-3.73, 4 Ac 3.89-3.91
Ac (0.3344, 0.5846, 0.6678)  1 Er 3.71, 7 Y 3.71-3.73, 4 Ac 3.89-3.91
Y (0.1657, 0.6668, 0.3336)  8 Ac 3.72-3.73, 4 Y 3.88-3.90
Y (0.1666, 0.1669, 0.3338)  8 Ac 3.71-3.73, 3 Y 3.88-3.90, 1 Er 3.90
Y (0.5000, 0.5000, 0.0000)  8 Ac 3.71-3.72, 2 Er 3.90, 2 Y 3.90
Er (0.5000, 0.0000, 0.0000)  8 Ac 3.71, 4 Y 3.90

E_form   0.54 eV/f.u.
Total energy   -61.00 eV/f.u.

4.
Entry from the Alexandria database: a geometry-optimized AcYEr2 structure (PBE-GGA).

a = 3.6777 Å, b = 3.6777 Å, c = 35.0758 Å
α = 90.00°, β = 90.00°, γ = 120.00°
Closest atoms and distances in Å follow each position.
Space group R-3m (No. 166, hexagonal axes)
Asymmetric unit:
Ac (0.0000, 0.0000, 0.0000)  6 Ac 3.68, 6 Er 3.69
Y (0.0000, 0.0000, 0.5000)  6 Er 3.53, 6 Y 3.68
Er (0.0000, 0.0000, 0.2471)  3 Y 3.53, 6 Er 3.68, 3 Ac 3.69

Energy relative to the lowest polymorph listed for this composition   0.000 eV/atom
E_form   0.26 eV/f.u.
Total energy   -19.44 eV/f.u.

5.
Entry from the Alexandria database: a geometry-optimized AcY12Er6 structure (PBE-GGA).

a = 14.9101 Å, b = 14.9101 Å, c = 10.3422 Å
α = 90.00°, β = 90.00°, γ = 120.00°
Closest atoms and distances in Å follow each position.
Space group R-3m (No. 166, hexagonal axes)
Asymmetric unit:
Ac (0.0000, 0.0000, 0.0000)  6 Y 3.73
Y (0.0000, 0.3880, 0.5000)  4 Er 3.22-3.39, 1 Y 3.34
Y (0.0747, 0.1493, 0.3084)  1 Er 3.10, 2 Y 3.34
Er (0.0467, 0.5233, 0.2212)  5 Y 3.10-3.39

E_form   7.93 eV/f.u.
Total energy   -101.13 eV/f.u.

6.
Entry from the Alexandria database: a geometry-optimized Ac3Y2Er structure (PBE-GGA).

a = 10.7094 Å, b = 7.5510 Å, c = 12.5382 Å
α = 90.00°, β = 115.25°, γ = 90.00°
Closest atoms and distances in Å follow each position.
Space group C2/c (No. 15)
Asymmetric unit:
Ac (0.0000, 0.1254, 0.2500)  2 Er 3.77-3.78, 6 Y 3.78-3.79, 4 Ac 3.78
Ac (0.1666, 0.3754, 0.0830)  5 Y 3.77-3.79, 3 Er 3.78, 4 Ac 3.78
Y (0.1670, 0.1246, 0.5842)  8 Ac 3.77-3.79, 2 Er 3.77-3.78, 2 Y 3.79-3.80
Er (0.0000, 0.3744, 0.7500)  8 Ac 3.77-3.78, 4 Y 3.77-3.78

E_form   0.48 eV/f.u.
Total energy   -29.34 eV/f.u.